A geometry-optimized KCo3Se structure. Source: the Alexandria database, functional PBE-GGA.

```
KCo3Se
1.0
4.5807 0.0000 0.0000
0.0000 4.5807 0.0000
0.0000 0.0000 4.5807
K Co Se
1 3 1
direct
0.0000 0.0000 0.0000
0.0000 0.0000 0.5000
0.0000 0.5000 0.0000
0.5000 0.0000 0.0000
0.5000 0.5000 0.5000
```

Values from the calculation:
N(E_F) = 10.9 states/eV/cell
SG = Pm-3m
energy above the lowest structure with this stoichiometry = 157.7 kJ/mol of atoms

A geometry-optimized Th3MgTl4 structure. Source: the Alexandria database, functional PBE-GGA.

```
Th3MgTl4
1.0
3.5925 0.0000 0.0000
0.0000 3.5925 0.0000
0.0000 0.0000 17.2943
Th Mg Tl
3 1 4
direct
0.0000 0.0000 0.0000
0.0000 0.0000 0.2649
0.0000 0.0000 0.7351
0.0000 0.0000 0.5000
0.5000 0.5000 0.1328
0.5000 0.5000 0.3967
0.5000 0.5000 0.6033
0.5000 0.5000 0.8672
```

Values from the calculation:
formation energy from the elements = -0.938 eV/f.u.
N(E_F) = 7.1 states/eV/cell
SG = P4/mmm
energy above the lowest structure with this stoichiometry = 0.0 kJ/mol of atoms

A geometry-optimized MnAl3Ga structure. Source: the Alexandria database, functional PBE-GGA.

```
MnAl3Ga
1.0
7.8588 -3.6361 0.0000
7.8588 3.6361 0.0000
-0.3375 0.0000 2.7343
Mn Al Ga
2 6 2
direct
0.2217 0.2217 0.4716
0.7783 0.7783 0.5284
0.0796 0.0796 0.8393
0.1390 0.5223 0.0551
0.4777 0.8610 0.9449
0.5223 0.1390 0.0551
0.8610 0.4777 0.9449
0.9204 0.9204 0.1607
0.3237 0.6763 0.0000
0.6763 0.3237 0.0000
```

Values from the calculation:
formation energy from the elements = -0.521 eV/f.u.
N(E_F) = 4.5 states/eV/cell
SG = C2/m
energy above the lowest structure with this stoichiometry = 2.8 kJ/mol of atoms

A geometry-optimized KNiIrSe3 structure. Source: the Alexandria database, functional PBE-GGA.

```
KNiIrSe3
1.0
8.3897 0.0000 0.0000
0.0000 3.8262 0.0000
-3.7949 0.0000 8.6823
K Ni Ir Se
2 2 2 6
direct
0.2350 0.2500 0.2652
0.7650 0.7500 0.7348
0.0882 0.2500 0.6120
0.9118 0.7500 0.3880
0.3156 0.7500 0.8440
0.6844 0.2500 0.1560
0.1242 0.2500 0.8667
0.2120 0.7500 0.5497
0.4773 0.7500 0.1336
0.5227 0.2500 0.8664
0.7880 0.2500 0.4503
0.8758 0.7500 0.1333
```

Values from the calculation:
N(E_F) = 5.9 states/eV/cell
raw total energy = -58.5 eV per cell
SG = P2_1/m